1.
RbLaMgI6 | Alexandria via LeMat-Bulk | GGA-PBE | relaxed; formation energy (no corrections) = -1.347 eV per atom; magnetization = 0.00 μB/f.u.; volume = 894 Å³/cell; density of states at the Fermi level = 0.0 states/eV/f.u.; total energy = -57.8 eV per cell
1.0
7.967 0.000 0.000
-3.984 6.900 0.000
0.000 0.000 16.268
Rb La Mg I
2 2 2 12
Direct
0.000 0.000 0.000
0.000 0.000 0.500
0.333 0.667 0.250
0.667 0.333 0.750
0.333 0.667 0.750
0.667 0.333 0.250
0.021 0.380 0.642
0.021 0.640 0.858
0.360 0.380 0.858
0.360 0.979 0.642
0.380 0.021 0.142
0.380 0.360 0.358
0.620 0.640 0.642
0.620 0.979 0.858
0.640 0.021 0.358
0.640 0.620 0.142
0.979 0.360 0.142
0.979 0.620 0.358


2.
LaMgScI2 | Alexandria via LeMat-Bulk | GGA-PBE | relaxed; formation energy (no corrections) = 0.179 eV per atom; magnetization = 2.65 μB/f.u.; volume = 182 Å³/cell; density of states at the Fermi level = 7.6 states/eV/f.u.; total energy = -15.1 eV per cell
1.0
5.569 0.000 0.000
0.000 5.569 0.000
0.000 0.000 5.881
La Mg Sc I
1 1 1 2
Direct
0.000 0.000 0.000
0.500 0.500 0.500
0.500 0.500 0.000
0.000 0.500 0.500
0.500 0.000 0.500


3.
LaMgTeI2 | Alexandria via LeMat-Bulk | GGA-PBE | relaxed; formation energy (no corrections) = -0.693 eV per atom; magnetization = 0.68 μB/f.u.; volume = 175 Å³/cell; density of states at the Fermi level = 6.9 states/eV/f.u.; E above lowest polymorph = 2.2 meV/atom; total energy = -16.2 eV per cell
1.0
5.532 0.000 0.000
0.000 5.532 0.000
0.000 0.000 5.716
La Mg Te I
1 1 1 2
Direct
0.000 0.000 0.000
0.500 0.500 0.500
0.500 0.500 0.000
0.000 0.500 0.500
0.500 0.000 0.500